The following is a PBE-GGA calculation of Ti4FeCo2 after structural relaxation, from Alexandria via LeMat-Bulk.

## Properties
Spin magnetization ... 0.00 μB per formula unit
Calculated volume ... 101.01 Å³/f.u.
Theoretical density ... 6.00 Mg/m³
Formation energy from the elements ... -224.9 meV/atom

a = 5.0817 Å, b = 5.0817 Å, c = 5.0817 Å
α = 108.68°, β = 109.87°, γ = 109.87°
Last column: nearest neighbours and their distance in Å.
Element x y z (fractional)
Fe 0.0000 0.0000 0.0000  8 Ti 2.54
Co 0.5000 0.0000 0.5000  8 Ti 2.54
Co 0.5000 0.5000 0.0000  8 Ti 2.54
Ti 0.5000 0.5000 0.5000  4 Co 2.54, 2 Fe 2.54
Ti 0.0000 0.5000 0.0000  2 Fe 2.54, 4 Co 2.54
Ti 0.0000 0.0000 0.5000  4 Co 2.54, 2 Fe 2.54
Ti 0.5000 0.0000 0.0000  4 Co 2.54, 2 Fe 2.54